[1]
Density functional theory data (PBE-GGA) for Rb2TaSnO6 after structural relaxation.

Geometry as extended XYZ:
```
10
Lattice="0.0000 4.1350 4.1350 4.1350 0.0000 4.1350 4.1350 4.1350 0.0000" Properties=species:S:1:pos:R:3 pbc="T T T"
Rb 2.0675 2.0675 2.0675
Rb 6.2025 6.2025 6.2025
Ta 0.0000 0.0000 0.0000
Sn 4.1350 4.1350 4.1350
O 4.1350 4.1350 2.0145
O 4.1350 2.0145 4.1350
O 6.2555 4.1350 4.1350
O 2.0145 4.1350 4.1350
O 4.1350 6.2555 4.1350
O 4.1350 4.1350 6.2555
```

Values from the calculation:
Final energy: -66.824 eV for the cell shown
Formation energy from raw total energies: -186 kJ per mole of atoms
Volume: 141 Å³ per cell


[2]
Density functional theory data (PBE-GGA) for AlCrAu after structural relaxation.

Geometry as extended XYZ:
```
3
Lattice="0.0000 3.0589 3.0589 3.0589 0.0000 3.0589 3.0589 3.0589 0.0000" Properties=species:S:1:pos:R:3 pbc="T T T"
Al 0.0000 0.0000 0.0000
Cr 3.0589 3.0589 3.0589
Au 4.5884 4.5884 4.5884
```

Values from the calculation:
Final energy: -16.247 eV for the cell shown
Formation enthalpy at 0 K: 0.4 eV/f.u.
Volume: 57 Å³ per cell


[3]
Density functional theory data (PBE-GGA) for Ni2Te3Au after structural relaxation.

Geometry as extended XYZ:
```
12
Lattice="7.6583 0.0000 0.0000 -3.8292 6.6323 0.0000 0.0000 0.0000 5.1302" Properties=species:S:1:pos:R:3 pbc="T T T"
Ni 0.0000 0.0000 0.0000
Ni -1.9146 3.3162 0.0000
Ni 3.8292 0.0000 0.0000
Ni 1.9146 3.3162 0.0000
Te 0.0000 2.3133 1.2474
Te -1.8258 5.4757 1.2474
Te 2.0034 1.1566 3.8828
Te 1.8258 5.4757 1.2474
Te 5.6550 1.1566 3.8828
Te 3.8292 4.3190 3.8828
Au 0.0000 4.4215 3.5195
Au 3.8292 2.2108 1.6107
```

Values from the calculation:
Final energy: -49.857 eV for the cell shown
Formation energy from raw total energies: -11 kJ per mole of atoms
Volume: 261 Å³ per cell


Which of these has the lowest final energy? Rb2TaSnO6